VASP calculation (PBE) on a relaxed LiAc2Gd crystal.

Unit cell a=3.7121 b=3.7121 c=38.0141 alpha=90.00 beta=90.00 gamma=120.00
Space group R-3m (No. 166, hexagonal axes)
Inequivalent atoms, fractional coordinates:
1 Li 0.0000 0.0000 0.0000 x3
2 Ac 0.0000 0.0000 0.4093 x6
3 Gd 0.0000 0.0000 0.5000 x3

Values from the calculation:
- total DFT energy (no corrections) (eV for the cell shown) = -69.16
- calculated formation energy (eV/atom) = 0.289
- relative energy among the computed polymorphs (eV per atom) = 0.2287

---

VASP calculation (PBE) on a relaxed Pm2Tl4S5 crystal.

Unit cell a=4.1746 b=4.1746 c=72.7036 alpha=90.00 beta=90.00 gamma=120.00
Space group R-3m (No. 166, hexagonal axes)
Inequivalent atoms, fractional coordinates:
1 Pm 0.0000 0.0000 0.1419 x6
2 Tl 0.0000 0.0000 0.3117 x6
3 Tl 0.0000 0.0000 0.4109 x6
4 S 0.0000 0.0000 0.2088 x6
5 S 0.0000 0.0000 0.3755 x6
6 S 0.0000 0.0000 0.5000 x3

Values from the calculation:
- total DFT energy (no corrections) (eV for the cell shown) = -150.68
- uncorrected formation energy (eV per atom) = -0.97

---

VASP calculation (PBE) on a relaxed B5C7 crystal.

Unit cell a=9.047 b=2.588 c=8.309 alpha=90.00 beta=122.82 gamma=90.00
Space group Cm (No. 8)
Inequivalent atoms, fractional coordinates:
1 B 0.000 0.000 0.000 x2
2 B 0.006 0.500 0.163 x2
3 B 0.209 0.000 0.488 x2
4 B 0.346 0.500 0.284 x2
5 B 0.458 0.000 0.640 x2
6 C 0.146 0.500 0.849 x2
7 C 0.158 0.000 0.962 x2
8 C 0.175 0.500 0.378 x2
9 C 0.291 0.500 0.800 x2
10 C 0.294 0.000 0.710 x2
11 C 0.328 0.000 0.169 x2
12 C 0.398 0.500 0.497 x2

Values from the calculation:
- total DFT energy (no corrections) (eV for the cell shown) = -186.85
- calculated formation energy (eV/atom) = 0.377
- relative energy among the computed polymorphs (eV per atom) = 0.1193